A plane-wave DFT calculation with PBE was carried out for crystalline PaNi3Ge at its relaxed geometry.

```
10
Lattice="-3.1162 -2.9245 -1.8858 3.7574 -1.7443 -3.5038 -0.2827 -3.2580 5.5196" Properties=species:S:1:pos:R:3 pbc="T T T"
Pa -0.1978 -3.7399 -2.5511
Pa 0.5564 -4.1869 2.6810
Ni -0.2920 -5.5000 0.3341
Ni -2.1622 -4.6317 2.0781
Ni 2.5208 -3.2951 -1.9481
Ni 0.6506 -2.4268 -0.2041
Ni 0.0000 0.0000 0.0000
Ni -1.5581 -1.4622 -0.9429
Ge -1.7488 -3.7159 -0.0254
Ge 2.1073 -4.2109 0.1554
```

Calculated values
Relative energy among the computed polymorphs = 0 meV per atom
Total magnetic moment = 0.00 Bohr magnetons per cell
V = 147.3 Å³ per cell
Theoretical density = 10.81 Mg/m³
Crystal system = orthorhombic
Fermi-level density of states = 0.893 states/eV per atom